Here is a relaxed AlNi2O4 crystal from Alexandria via LeMat-Bulk. Energies are from PBE+U.

abc: 5.8177 5.8177 5.8178
angles: 120.22 120.45 89.42
Last column: nearest neighbours and their distance in Å.
Sites, in units of the cell vectors:
Ni (0.6303, 0.3803, 0.2500)  4 O 1.87-1.92
Ni (0.0000, 0.0000, 0.0000)  6 O 2.04-2.07
Ni (0.5000, 0.0000, 0.5000)  6 O 2.04-2.07
Ni (0.3697, 0.6197, 0.7500)  4 O 1.87-1.92
O (0.7694, 0.7734, 0.5039)  3 Ni 1.87-2.04, 1 Al 1.91
O (0.2306, 0.7345, 0.0039)  3 Ni 1.87-2.04, 1 Al 1.91
O (0.2249, 0.2494, 0.9755)  2 Ni 1.92-2.07, 2 Al 1.95
O (0.7738, 0.2494, 0.5245)  2 Ni 1.92-2.07, 2 Al 1.95
O (0.2261, 0.7506, 0.4755)  2 Ni 1.92-2.07, 2 Al 1.95
O (0.2306, 0.2266, 0.4960)  3 Ni 1.87-2.04, 1 Al 1.91
O (0.7751, 0.7506, 0.0245)  2 Ni 1.92-2.07, 2 Al 1.95
O (0.7694, 0.2655, 0.9960)  3 Ni 1.87-2.04, 1 Al 1.91
Al (0.0000, 0.5000, 0.0000)  6 O 1.91-1.95
Al (0.0000, 0.0000, 0.5000)  6 O 1.91-1.95

The total energy is -79.4 eV for the cell shown. The polymorph energy (0 for the lowest one) comes out at 0.0779 eV per atom.